[1]
First-principles (GGA-PBE) data for an optimized crystal structure of Dy2HgBr, as listed in Alexandria.

Geometry as POSCAR:
```
Dy2HgBr
1.0
2.103 1.214 7.191
-2.103 1.214 7.191
0.000 -2.429 7.191
Dy Hg Br
2 1 1
direct
0.247 0.247 0.247
0.753 0.753 0.753
0.500 0.500 0.500
0.000 0.000 0.000
```

## Properties
* space group: R-3m, No. 166
* E_form (uncorrected): -0.671 eV per atom
* DOS(E_F): 2.92 states/eV per cell
* energy relative to the lowest polymorph listed for this composition: 38.1 meV per atom

---

[2]
First-principles (GGA-PBE) data for an optimized crystal structure of PuGa9Fe2, as listed in Alexandria.

Geometry as POSCAR:
```
PuGa9Fe2
1.0
-5.352 5.352 3.368
5.352 -5.352 3.368
5.352 5.352 -3.368
Pu Ga Fe
2 18 4
direct
0.375 0.625 0.750
0.625 0.375 0.250
0.125 0.875 0.250
0.127 0.562 0.323
0.127 0.804 0.564
0.196 0.261 0.323
0.196 0.873 0.936
0.261 0.196 0.823
0.261 0.438 0.064
0.438 0.261 0.564
0.438 0.873 0.177
0.562 0.127 0.823
0.562 0.739 0.436
0.739 0.562 0.936
0.739 0.804 0.177
0.804 0.127 0.064
0.804 0.739 0.677
0.873 0.196 0.436
0.873 0.438 0.677
0.875 0.125 0.750
0.000 0.000 0.000
0.000 0.000 0.500
0.000 0.500 0.000
0.500 0.000 0.500
```

## Properties
* space group: I4_1/amd, No. 141
* energy relative to the elements: -0.1074 eV per atom
* DOS(E_F): 21.82 states/eV per cell

---

[3]
First-principles (GGA-PBE) data for an optimized crystal structure of Ge3TeC, as listed in Alexandria.

Geometry as POSCAR:
```
Ge3TeC
1.0
5.508 0.000 0.000
0.000 5.508 0.000
0.000 0.000 5.508
Ge Te C
3 1 1
direct
0.000 0.000 0.500
0.000 0.500 0.000
0.500 0.000 0.000
0.000 0.000 0.000
0.500 0.500 0.500
```

## Properties
* space group: Pm-3m, No. 221
* E_form (uncorrected): 2.248 eV per atom
* DOS(E_F): 2.85 states/eV per cell
* energy relative to the lowest polymorph listed for this composition: 1355.6 meV per atom

---

[4]
First-principles (GGA-PBE) data for an optimized crystal structure of TbHoFe, as listed in Alexandria.

Geometry as POSCAR:
```
TbHoFe
1.0
-1.661 1.661 6.419
1.661 -1.661 6.419
1.661 1.661 -6.419
Tb Ho Fe
1 1 1
direct
0.000 0.000 0.000
0.251 0.251 0.000
0.627 0.627 0.000
```

## Properties
* space group: I4mm, No. 107
* energy relative to the elements: 0.0508 eV per atom
* DOS(E_F): 1.80 states/eV per cell
* energy relative to the lowest polymorph listed for this composition: 0.0 meV per atom

---

[5]
First-principles (GGA-PBE) data for an optimized crystal structure of SrCrNi, as listed in Alexandria.

Geometry as POSCAR:
```
SrCrNi
1.0
4.037 0.000 0.000
0.561 3.999 0.000
0.222 0.183 8.937
Sr Cr Ni
2 2 2
direct
0.249 0.250 0.300
0.751 0.750 0.700
0.291 0.708 0.000
0.709 0.292 0.000
0.213 0.212 0.872
0.787 0.788 0.128
```

## Properties
* space group: P-1, No. 2
* energy relative to the elements: 0.3405 eV per atom
* DOS(E_F): 9.30 states/eV per cell
* energy relative to the lowest polymorph listed for this composition: 19.7 meV per atom

---

[6]
First-principles (GGA-PBE) data for an optimized crystal structure of NaSr2Mg, as listed in Alexandria.

Geometry as POSCAR:
```
NaSr2Mg
1.0
-4.794 4.794 3.865
4.794 -4.794 3.865
4.794 4.794 -3.865
Na Sr Mg
2 4 2
direct
0.000 0.000 0.000
0.750 0.250 0.500
0.135 0.125 0.510
0.375 0.865 0.990
0.615 0.625 0.490
0.875 0.385 0.010
0.250 0.750 0.500
0.500 0.500 0.000
```

## Properties
* space group: I-42d, No. 122
* energy relative to the elements: 0.2150 eV per atom
* DOS(E_F): 7.17 states/eV per cell

---

[7]
First-principles (GGA-PBE) data for an optimized crystal structure of Dy3Ho5Sb8, as listed in Alexandria.

Geometry as POSCAR:
```
Dy3Ho5Sb8
1.0
4.374 2.525 7.142
-4.374 2.525 7.142
0.000 -5.050 7.142
Dy Ho Sb
3 5 8
direct
0.000 0.500 0.500
0.500 0.000 0.500
0.500 0.500 0.000
0.000 0.000 0.000
0.000 0.000 0.500
0.000 0.500 0.000
0.500 0.000 0.000
0.500 0.500 0.500
0.249 0.750 0.750
0.250 0.250 0.250
0.250 0.250 0.751
0.250 0.751 0.250
0.750 0.249 0.750
0.750 0.750 0.249
0.750 0.750 0.750
0.751 0.250 0.250
```

## Properties
* space group: R-3m, No. 166
* E_form (uncorrected): -1.120 eV per atom
* DOS(E_F): 2.71 states/eV per cell

---

[8]
First-principles (GGA-PBE) data for an optimized crystal structure of Zn2AgOs, as listed in Alexandria.

Geometry as POSCAR:
```
Zn2AgOs
1.0
2.707 0.000 0.000
0.000 4.326 0.000
-1.334 0.000 5.106
Zn Ag Os
2 1 1
direct
0.000 0.000 0.000
0.145 0.500 0.298
0.745 0.000 0.496
0.412 0.500 0.825
```

## Properties
* space group: Pm, No. 6
* energy relative to the elements: 0.2419 eV per atom
* DOS(E_F): 1.92 states/eV per cell
* energy relative to the lowest polymorph listed for this composition: 129.5 meV per atom

---

[9]
First-principles (GGA-PBE) data for an optimized crystal structure of CsHoWN3, as listed in Alexandria.

Geometry as POSCAR:
```
CsHoWN3
1.0
6.761 -1.958 0.000
6.761 1.958 0.000
-2.078 0.000 8.483
Cs Ho W N
2 2 2 6
direct
0.145 0.145 0.071
0.855 0.855 0.929
0.162 0.162 0.580
0.838 0.838 0.420
0.490 0.490 0.657
0.510 0.510 0.343
0.015 0.015 0.360
0.337 0.337 0.622
0.367 0.367 0.247
0.633 0.633 0.753
0.663 0.663 0.378
0.985 0.985 0.640
```

## Properties
* space group: C2/m, No. 12
* E_form (uncorrected): -0.586 eV per atom

---

[10]
First-principles (GGA-PBE) data for an optimized crystal structure of Zn3InAg5, as listed in Alexandria.

Geometry as POSCAR:
```
Zn3InAg5
1.0
6.145 -3.807 0.000
6.145 3.807 0.000
-4.942 0.000 7.962
Zn In Ag
6 2 10
direct
0.000 0.000 0.000
0.000 0.000 0.500
0.262 0.262 0.279
0.388 0.388 0.881
0.612 0.612 0.119
0.738 0.738 0.721
0.167 0.167 0.876
0.833 0.833 0.124
0.122 0.723 0.724
0.250 0.250 0.562
0.277 0.878 0.276
0.326 0.674 0.500
0.422 0.422 0.181
0.578 0.578 0.819
0.674 0.326 0.500
0.723 0.122 0.724
0.750 0.750 0.438
0.878 0.277 0.276
```

## Properties
* space group: C2/m, No. 12
* energy relative to the elements: 0.1635 eV per atom
* DOS(E_F): 6.77 states/eV per cell

---

[11]
First-principles (GGA-PBE) data for an optimized crystal structure of Cs2Na2As, as listed in Alexandria.

Geometry as POSCAR:
```
Cs2Na2As
1.0
-2.265 2.265 12.409
2.265 -2.265 12.409
2.265 2.265 -12.409
Cs Na As
2 2 1
direct
0.081 0.081 0.000
0.919 0.919 0.000
0.250 0.750 0.500
0.750 0.250 0.500
0.500 0.500 0.000
```

## Properties
* space group: I4/mmm, No. 139
* energy relative to the elements: 0.0282 eV per atom
* DOS(E_F): 3.70 states/eV per cell
* energy relative to the lowest polymorph listed for this composition: 290.6 meV per atom

---

[12]
First-principles (GGA-PBE) data for an optimized crystal structure of Ba2HgBr, as listed in Alexandria.

Geometry as POSCAR:
```
Ba2HgBr
1.0
0.000 4.251 4.251
4.251 0.000 4.251
4.251 4.251 0.000
Ba Hg Br
2 1 1
direct
0.250 0.250 0.250
0.750 0.750 0.750
0.000 0.000 0.000
0.500 0.500 0.500
```

## Properties
* space group: Fm-3m, No. 225
* E_form (uncorrected): -0.845 eV per atom
* DOS(E_F): 5.30 states/eV per cell
* energy relative to the lowest polymorph listed for this composition: 186.3 meV per atom

---

[13]
First-principles (GGA-PBE) data for an optimized crystal structure of Pa2CoS3, as listed in Alexandria.

Geometry as POSCAR:
```
Pa2CoS3
1.0
10.861 0.000 0.000
0.000 3.824 0.000
0.000 0.000 10.664
Pa Co S
8 4 12
direct
0.010 0.250 0.185
0.194 0.250 0.502
0.306 0.750 0.002
0.490 0.750 0.685
0.510 0.250 0.315
0.694 0.250 0.998
0.806 0.750 0.498
0.990 0.750 0.815
0.188 0.750 0.231
0.312 0.250 0.731
0.688 0.750 0.269
0.812 0.250 0.769
0.048 0.750 0.380
0.122 0.250 0.948
0.217 0.750 0.700
0.283 0.250 0.200
0.378 0.750 0.448
0.452 0.250 0.880
0.548 0.750 0.120
0.622 0.250 0.552
0.717 0.750 0.800
0.783 0.250 0.300
0.878 0.750 0.052
0.952 0.250 0.620
```

## Properties
* space group: Pnma, No. 62
* E_form (uncorrected): -1.361 eV per atom
* DOS(E_F): 23.68 states/eV per cell

---

[14]
First-principles (GGA-PBE) data for an optimized crystal structure of Sr2LiIr, as listed in Alexandria.

Geometry as POSCAR:
```
Sr2LiIr
1.0
3.767 -2.176 0.000
3.767 2.176 0.000
-2.520 0.000 8.770
Sr Li Ir
2 1 1
direct
0.226 0.226 0.177
0.774 0.774 0.823
0.000 0.000 0.500
0.500 0.500 0.000
```

## Properties
* space group: C2/m, No. 12
* energy relative to the elements: 0.0915 eV per atom
* DOS(E_F): 1.30 states/eV per cell

---

[15]
First-principles (GGA-PBE) data for an optimized crystal structure of Sm2Dy2Sc3, as listed in Alexandria.

Geometry as POSCAR:
```
Sm2Dy2Sc3
1.0
-4.683 4.683 4.683
4.683 -4.683 4.683
4.683 4.683 -4.683
Sm Dy Sc
4 4 6
direct
0.000 0.674 0.500
0.500 0.000 0.674
0.674 0.500 0.000
0.826 0.826 0.826
0.000 0.072 0.500
0.072 0.500 0.000
0.428 0.428 0.428
0.500 0.000 0.072
0.206 0.956 0.250
0.250 0.206 0.956
0.294 0.544 0.750
0.544 0.750 0.294
0.750 0.294 0.544
0.956 0.250 0.206
```

## Properties
* space group: I2_13, No. 199
* energy relative to the elements: 0.2268 eV per atom
* DOS(E_F): 20.26 states/eV per cell
* energy relative to the lowest polymorph listed for this composition: 61.9 meV per atom

---

[16]
First-principles (GGA-PBE) data for an optimized crystal structure of Np2ZnB2Ir5, as listed in Alexandria.

Geometry as POSCAR:
```
Np2ZnB2Ir5
1.0
9.519 0.000 0.000
0.000 9.519 0.000
0.000 0.000 3.267
Np Zn B Ir
4 2 4 10
direct
0.178 0.322 0.000
0.322 0.822 0.000
0.678 0.178 0.000
0.822 0.678 0.000
0.000 0.000 0.000
0.500 0.500 0.000
0.122 0.622 0.000
0.378 0.122 0.000
0.622 0.878 0.000
0.878 0.378 0.000
0.000 0.500 0.500
0.069 0.780 0.500
0.220 0.069 0.500
0.280 0.569 0.500
0.431 0.280 0.500
0.500 0.000 0.500
0.569 0.720 0.500
0.720 0.431 0.500
0.780 0.931 0.500
0.931 0.220 0.500
```

## Properties
* space group: P4/mbm, No. 127
* energy relative to the elements: -0.3464 eV per atom
* DOS(E_F): 37.34 states/eV per cell

---

[17]
First-principles (GGA-PBE) data for an optimized crystal structure of FeRu3Br, as listed in Alexandria.

Geometry as POSCAR:
```
FeRu3Br
1.0
4.517 0.000 0.000
0.000 4.517 0.000
0.000 0.000 4.517
Fe Ru Br
1 3 1
direct
0.000 0.000 0.000
0.000 0.000 0.500
0.000 0.500 0.000
0.500 0.000 0.000
0.500 0.500 0.500
```

## Properties
* space group: Pm-3m, No. 221
* E_form (uncorrected): 1.604 eV per atom
* DOS(E_F): 8.16 states/eV per cell

---

[18]
First-principles (GGA-PBE) data for an optimized crystal structure of Mn5Ga2Fe5, as listed in Alexandria.

Geometry as POSCAR:
```
Mn5Ga2Fe5
1.0
5.462 -1.811 0.000
5.462 1.811 0.000
-3.626 0.000 7.132
Mn Ga Fe
5 2 5
direct
0.000 0.000 0.000
0.085 0.085 0.761
0.246 0.246 0.239
0.754 0.754 0.761
0.915 0.915 0.239
0.161 0.161 0.502
0.839 0.839 0.498
0.329 0.329 0.996
0.421 0.421 0.754
0.500 0.500 0.500
0.579 0.579 0.246
0.671 0.671 0.004
```

## Properties
* space group: C2/m, No. 12
* energy relative to the elements: -0.0226 eV per atom
* DOS(E_F): 10.35 states/eV per cell

---

[19]
First-principles (GGA-PBE) data for an optimized crystal structure of TlVCo2Rh, as listed in Alexandria.

Geometry as POSCAR:
```
TlVCo2Rh
1.0
4.281 0.000 0.000
0.000 4.281 0.000
0.000 0.000 4.579
Tl V Co Rh
1 1 2 1
direct
0.000 0.000 0.000
0.500 0.500 0.500
0.000 0.500 0.500
0.500 0.000 0.500
0.500 0.500 0.000
```

## Properties
* space group: P4/mmm, No. 123
* energy relative to the elements: 0.8604 eV per atom
* DOS(E_F): 5.33 states/eV per cell

---

[20]
First-principles (GGA-PBE) data for an optimized crystal structure of CaZrOs2, as listed in Alexandria.

Geometry as POSCAR:
```
CaZrOs2
1.0
3.275 0.000 0.000
0.000 4.483 0.000
0.000 0.000 4.904
Ca Zr Os
1 1 2
direct
0.000 0.000 0.000
0.500 0.000 0.500
0.000 0.500 0.500
0.500 0.500 0.000
```

## Properties
* space group: Pmmm, No. 47
* energy relative to the elements: 0.4713 eV per atom
* DOS(E_F): 4.00 states/eV per cell

---

[21]
First-principles (GGA-PBE) data for an optimized crystal structure of CaHf4S8, as listed in Alexandria.

Geometry as POSCAR:
```
CaHf4S8
1.0
0.000 5.375 5.375
5.375 0.000 5.375
5.375 5.375 0.000
Ca Hf S
1 4 8
direct
0.000 0.000 0.000
0.144 0.619 0.619
0.619 0.144 0.619
0.619 0.619 0.144
0.619 0.619 0.619
0.382 0.382 0.382
0.382 0.382 0.854
0.382 0.854 0.382
0.420 0.860 0.860
0.854 0.382 0.382
0.860 0.420 0.860
0.860 0.860 0.420
0.860 0.860 0.860
```

## Properties
* space group: F-43m, No. 216
* E_form (uncorrected): -1.588 eV per atom
* DOS(E_F): 6.96 states/eV per cell
* energy relative to the lowest polymorph listed for this composition: 96.0 meV per atom

---

[22]
First-principles (GGA-PBE) data for an optimized crystal structure of Sc2AlSnCl, as listed in Alexandria.

Geometry as POSCAR:
```
Sc2AlSnCl
1.0
5.548 0.000 0.000
0.000 5.548 0.000
0.000 0.000 5.049
Sc Al Sn Cl
2 1 1 1
direct
0.000 0.500 0.000
0.500 0.000 0.000
0.000 0.000 0.500
0.000 0.000 0.000
0.500 0.500 0.500
```

## Properties
* space group: P4/mmm, No. 123
* E_form (uncorrected): 0.295 eV per atom
* DOS(E_F): 6.58 states/eV per cell

---

[23]
First-principles (GGA-PBE) data for an optimized crystal structure of Dy2MnZn, as listed in Alexandria.

Geometry as POSCAR:
```
Dy2MnZn
1.0
3.558 0.000 0.000
0.000 3.558 0.000
0.000 0.000 7.069
Dy Mn Zn
2 1 1
direct
0.000 0.000 0.247
0.000 0.000 0.753
0.500 0.500 0.000
0.500 0.500 0.500
```

## Properties
* space group: P4/mmm, No. 123
* energy relative to the elements: -0.0783 eV per atom
* DOS(E_F): 4.62 states/eV per cell
* energy relative to the lowest polymorph listed for this composition: 0.0 meV per atom

---

Looking at calculated density for the records above, in order, we have 9.1, 8.5, 3.6, 8.9, 4.6, 2.1, 8.0, 11.9, 7.7, 7.6, 2.5, 6.0, 9.3, 4.3, 6.1, 17.1, 7.9, 8.2, 9.4, 11.8, 5.4, 2.9, 8.3 g/cm3.
Looking at DFT total energy for the records above, in order, we have -3.466, -4.982, -2.995, -5.839, -5.355, -1.354, -5.475, -3.915, -7.813, -2.149, -1.771, -2.300, -7.774, -3.443, -5.150, -8.828, -5.989, -7.874, -5.749, -7.781, -7.344, -4.156, -4.990 eV/atom.
Looking at size of the total moment for the records above, in order, we have 0.00, 13.17, 1.09, 0.00, 0.00, 0.00, 0.00, 0.00, 0.00, 0.00, 0.26, 1.42, 0.00, 0.00, 0.00, 12.73, 3.84, 8.66, 0.12, 0.00, 0.00, 1.62, 3.19 μB per cell.